(1)
The following is a DFT calculation (PBE-GGA) of crystalline PHIrF2 at its relaxed geometry.

Cell lengths 4.005, 4.005, 3.275 Å; angles 90.00, 90.00, 90.00 degrees
Positions (direct):
P 0.000 0.000 0.000
H 0.000 0.000 0.500
Ir 0.500 0.500 0.000
F 0.000 0.500 0.500
F 0.500 0.000 0.500

Calculated values
The spin magnetization is 0.2244 μB per atom. The uncorrected energy comes out at -3.90 eV per atom. The density of states at the Fermi level is 2.706 states/eV/cell.



(2)
The following is a DFT calculation (PBE-GGA) of crystalline TlCd2Au at its relaxed geometry.

Cell lengths 4.790, 5.564, 7.726 Å; angles 82.37, 72.09, 89.77 degrees
Positions (direct):
Tl 0.000 0.000 0.000
Tl 0.127 0.597 0.736
Cd 0.269 0.187 0.455
Cd 0.484 0.376 0.026
Cd 0.749 0.857 0.493
Cd 0.869 0.459 0.253
Au 0.359 0.756 0.272
Au 0.671 0.304 0.651

Calculated values
The spin magnetization is 0.0000 μB per atom. The density of states at the Fermi level is 2.250 states/eV/cell. Its offset from the most stable computed form is 40.0 meV per atom. The calculation puts the formation energy at -0.052 eV/atom.



(3)
The following is a DFT calculation (PBE-GGA) of crystalline NdDyTlCu at its relaxed geometry.

Cell lengths 7.447, 7.447, 7.447 Å; angles 90.00, 90.00, 90.00 degrees
Positions (direct):
Nd 0.000 0.000 0.000
Nd 0.000 0.500 0.500
Nd 0.500 0.000 0.500
Nd 0.500 0.500 0.000
Dy 0.000 0.000 0.500
Dy 0.000 0.500 0.000
Dy 0.500 0.000 0.000
Dy 0.500 0.500 0.500
Tl 0.250 0.250 0.750
Tl 0.250 0.750 0.250
Tl 0.750 0.250 0.250
Tl 0.750 0.750 0.750
Cu 0.250 0.250 0.250
Cu 0.250 0.750 0.750
Cu 0.750 0.250 0.750
Cu 0.750 0.750 0.250

Calculated values
The spin magnetization is 0.0420 μB per atom. The density of states at the Fermi level is 15.337 states/eV/cell. The calculation puts the formation energy at -0.220 eV/atom.



(4)
The following is a DFT calculation (PBE-GGA) of crystalline Tb2Ho3Sc4 at its relaxed geometry.

Cell lengths 9.655, 9.655, 5.839 Å; angles 95.00, 95.00, 69.85 degrees
Positions (direct):
Tb 0.014 0.730 0.684
Tb 0.270 0.986 0.816
Tb 0.730 0.014 0.184
Tb 0.986 0.270 0.316
Ho 0.103 0.897 0.250
Ho 0.242 0.434 0.383
Ho 0.434 0.242 0.883
Ho 0.566 0.758 0.117
Ho 0.758 0.566 0.617
Ho 0.897 0.103 0.750
Sc 0.080 0.363 0.846
Sc 0.320 0.596 0.979
Sc 0.363 0.080 0.346
Sc 0.404 0.680 0.521
Sc 0.596 0.320 0.479
Sc 0.637 0.920 0.654
Sc 0.680 0.404 0.021
Sc 0.920 0.637 0.154

Calculated values
The spin magnetization is 0.0003 μB per atom. The density of states at the Fermi level is 27.219 states/eV/cell. The calculation puts the formation energy at 0.112 eV/atom.



(5)
The following is a DFT calculation (PBE-GGA) of crystalline Sr2ReHg at its relaxed geometry.

Cell lengths 3.540, 3.540, 31.127 Å; angles 90.00, 90.00, 120.00 degrees
Positions (direct):
Sr 0.000 0.000 0.241
Sr 0.000 0.000 0.759
Sr 0.333 0.667 0.425
Sr 0.333 0.667 0.908
Sr 0.667 0.333 0.092
Sr 0.667 0.333 0.575
Re 0.000 0.000 0.500
Re 0.333 0.667 0.167
Re 0.667 0.333 0.833
Hg 0.000 0.000 0.000
Hg 0.333 0.667 0.667
Hg 0.667 0.333 0.333

Calculated values
The spin magnetization is 0.2496 μB per atom. The density of states at the Fermi level is 11.641 states/eV/cell. The calculation puts the formation energy at 0.786 eV/atom.



(6)
The following is a DFT calculation (PBE-GGA) of crystalline ErFeSi3Tc at its relaxed geometry.

Cell lengths 6.450, 6.450, 5.414 Å; angles 90.00, 90.00, 109.28 degrees
Positions (direct):
Er 0.247 0.753 0.750
Er 0.753 0.247 0.250
Fe 0.033 0.967 0.250
Fe 0.967 0.033 0.750
Si 0.232 0.768 0.250
Si 0.241 0.241 0.000
Si 0.241 0.241 0.500
Si 0.759 0.759 0.000
Si 0.759 0.759 0.500
Si 0.768 0.232 0.750
Tc 0.444 0.556 0.250
Tc 0.556 0.444 0.750

Calculated values
The spin magnetization is 0.0000 μB per atom. The density of states at the Fermi level is 5.346 states/eV/cell. The uncorrected formation energy is -0.32 eV/atom.



(7)
The following is a DFT calculation (PBE-GGA) of crystalline Rb2TlCu2 at its relaxed geometry.

Cell lengths 7.414, 7.414, 5.652 Å; angles 90.00, 90.00, 90.00 degrees
Positions (direct):
Rb 0.180 0.320 0.000
Rb 0.320 0.820 0.000
Rb 0.680 0.180 0.000
Rb 0.820 0.680 0.000
Tl 0.000 0.000 0.500
Tl 0.500 0.500 0.500
Cu 0.118 0.618 0.500
Cu 0.382 0.118 0.500
Cu 0.618 0.882 0.500
Cu 0.882 0.382 0.500

Calculated values
The spin magnetization is 0.0000 μB per atom. The density of states at the Fermi level is 4.947 states/eV/cell. Its offset from the most stable computed form is 0.0 meV per atom. The calculation puts the formation energy at 0.309 eV/atom.



(8)
The following is a DFT calculation (PBE-GGA) of crystalline Al2TlPt at its relaxed geometry.

Cell lengths 7.647, 7.647, 5.869 Å; angles 90.00, 90.00, 90.00 degrees
Positions (direct):
Al 0.185 0.250 0.125
Al 0.250 0.685 0.375
Al 0.250 0.815 0.875
Al 0.315 0.250 0.625
Al 0.685 0.750 0.625
Al 0.750 0.185 0.875
Al 0.750 0.315 0.375
Al 0.815 0.750 0.125
Tl 0.000 0.000 0.500
Tl 0.000 0.500 0.750
Tl 0.500 0.000 0.250
Tl 0.500 0.500 0.000
Pt 0.000 0.000 0.000
Pt 0.000 0.500 0.250
Pt 0.500 0.000 0.750
Pt 0.500 0.500 0.500

Calculated values
The spin magnetization is 0.0000 μB per atom. The density of states at the Fermi level is 7.128 states/eV/cell. Its offset from the most stable computed form is 237.9 meV per atom. The calculation puts the formation energy at -0.102 eV/atom.